! PBE-GGA NaLa2US6, relaxed; values from VASP
! * calculated total energy: -6.439 eV per atom
! * volume: 27.65 A^3/atom
&SYSTEM
  ibrav = 0, nat = 10, ntyp = 4
/
ATOMIC_SPECIES
Na 22.99 Na.upf
La 138.91 La.upf
U 238.03 U.upf
S 32.06 S.upf
CELL_PARAMETERS angstrom
-4.008 2.146 5.547
-6.428 -2.969 1.141
-0.843 -4.606 5.810
ATOMIC_POSITIONS crystal
Na 0.808 0.808 0.575
La 0.528 0.528 0.416
La 0.018 0.018 0.946
U 0.322 0.322 0.033
S 0.585 0.206 0.251
S 0.206 0.959 0.251
S 0.959 0.585 0.251
S 0.416 0.691 0.764
S 0.691 0.129 0.764
S 0.129 0.416 0.764